GGA-PBE AsOsSCl2, relaxed; total magnetization = 0.0 μB per formula unit; total energy = -0.1518 hartree per atom; relative energy among the computed polymorphs = 0.0 meV per atom; formation energy without anion corrections = 608 meV/atom
1.0
-4.7998 0.2065 -0.1436
-0.2485 -4.3147 2.1029
-0.0361 1.9743 4.0466
Os S As Cl
1 1 1 2
direct
0.0000 0.0000 0.0000
0.0000 0.0000 0.5000
0.5000 0.5000 0.5000
0.0000 0.5000 0.0000
0.5000 0.0000 0.0000